Entry from Alexandria: crystalline PmSm2Y at its relaxed geometry (PBE). Values from VASP.

Structure (Quantum ESPRESSO input):
```
&SYSTEM
  ibrav = 0, nat = 4, ntyp = 3
/
ATOMIC_SPECIES
Pm 145.00 Pm.upf
Sm 150.36 Sm.upf
Y 88.91 Y.upf
CELL_PARAMETERS angstrom
3.582 0.000 0.000
0.000 5.635 0.000
-1.791 0.000 6.679
ATOMIC_POSITIONS angstrom
Pm 1.791 2.817 4.049
Sm 0.000 2.817 0.820
Sm 0.000 0.000 2.500
Y 0.000 0.000 5.989
```

## Properties
Formation enthalpy at 0 K ... 0.044 eV per atom
Calculated total energy ... -0.188 Ha/atom
Volume ... 134.8 Å³/cell
Magnetic moment ... 0.00 μB per cell